[1]
First-principles (GGA-PBE) data for a relaxed structure of Ba2CaNi, as listed in the Alexandria database.

As for the total magnetic moment: 0.000 μB/atom. The value obtained for the formation energy is 0.221 eV/f.u. As for the density of states at the Fermi level: 7.10 states/eV/cell. The calculation puts the energy above the lowest structure with this stoichiometry at 0.000 eV/atom. For the total energy, the calculation gives -2.852 eV per atom.

The space group is Amm2 (No. 38) and the conventional cell measures 4.3020, 6.3746 and 12.8485 Å, with angles of 90.00, 90.00 and 90.00 degrees. The distinct sites, in fractional coordinates, are Ba at (0.0000, 0.0000, 0.0000), Ba at (0.5000, 0.0000, 0.3361), Ca at (0.0000, 0.0000, 0.6938) and Ni at (0.5000, 0.0000, 0.8343).

---

[2]
First-principles (GGA-PBE) data for a relaxed structure of Li5Pt3, as listed in the Alexandria database.

As for the total magnetic moment: 0.000 μB/atom. The value obtained for the formation energy is -2.990 eV/f.u. As for the density of states at the Fermi level: 16.98 states/eV/cell. The calculation puts the energy above the lowest structure with this stoichiometry at 0.137 eV/atom. For the total energy, the calculation gives -3.835 eV per atom.

The space group is Fmmm (No. 69) and the conventional cell measures 4.8635, 13.8768 and 13.9412 Å, with angles of 90.00, 90.00 and 90.00 degrees. The distinct sites, in fractional coordinates, are Li at (0.0000, 0.0989, 0.1694), Li at (0.0000, 0.1697, 0.4011), Li at (0.2503, 0.0000, 0.0000), Pt at (0.0000, 0.0000, 0.3249), Pt at (0.0000, 0.1750, 0.0000) and Pt at (0.2500, 0.2500, 0.2500).